PBE-GGA La5Pm2Dy4, optimized geometry; E above lowest polymorph = 93 meV/atom; V = 36.08 Å³ per atom; E_form = 176 kJ/mol of formula units; symmetry = Immm, No. 71; total energy = -50.73 eV per cell
1.0
-1.786 4.674 11.885
1.786 -4.674 11.885
1.786 4.674 -11.885
La Pm Dy
5 2 4
direct
0.000 0.000 0.000
0.055 0.354 0.701
0.346 0.646 0.701
0.654 0.354 0.299
0.945 0.646 0.299
0.269 0.769 0.500
0.731 0.231 0.500
0.315 0.500 0.815
0.404 0.904 0.500
0.596 0.096 0.500
0.685 0.500 0.185